The following is a PBE calculation of Tm2Al3Ag2 after structural relaxation, from Alexandria via LeMat-Bulk.

Unit cell a=4.229 b=18.843 c=7.357 alpha=90.00 beta=90.00 gamma=90.00
Space group Cmcm (No. 63)
Unique sites:
Tm: 0.000 0.051 0.250 [4 per cell]
Tm: 0.000 0.156 0.750 [4 per cell]
Al: 0.000 0.224 0.250 [4 per cell]
Al: 0.000 0.440 0.075 [8 per cell]
Ag: 0.000 0.311 0.553 [8 per cell]

## Properties
offset from the most stable computed form = 51 meV per atom
density of states at the Fermi level = 19.53 states/eV per cell
raw total energy = -28.13 eV per formula unit
ΔH_f (0 K) = -0.322 eV per atom